# 1
The following is a GGA-PBE calculation of a relaxed TbPmRh2 crystal, from Alexandria.

Polymorph energy (0 for the lowest one) in meV per atom: 6
Energy relative to the elements in eV/f.u.: -3.03
Symmetry: No. 123
D(E_F) in states/eV per atom: 0.682
Calculated density in kg/m3: 10036

The structure in POSCAR format:
```
TbPmRh2
1.0
4.8726 0.0000 0.0000
0.0000 4.8726 0.0000
0.0000 0.0000 3.5524
Tb Pm Rh
1 1 2
Cartesian
0.0000 0.0000 0.0000
2.4363 2.4363 0.0000
0.0000 2.4363 1.7762
2.4363 0.0000 1.7762
```

# 2
The following is a GGA-PBE calculation of a relaxed TlSbOs2 crystal, from Alexandria.

Polymorph energy (0 for the lowest one) in meV per atom: 395
Symmetry: No. 166
D(E_F) in states/eV per atom: 1.137
Calculated density in kg/m3: 15987

The structure in POSCAR format:
```
TlSbOs2
1.0
1.5717 0.9074 8.5765
-1.5717 0.9074 8.5765
0.0000 -1.8149 8.5765
Tl Sb Os
1 1 2
Cartesian
0.0000 0.0000 0.0000
0.0000 0.0000 12.8647
0.0000 0.0000 6.2706
0.0000 0.0000 19.4587
```

# 3
The following is a GGA-PBE calculation of a relaxed Ac9GaCo3 crystal, from Alexandria.

Energy relative to the elements in eV/f.u.: -0.64
Symmetry: No. 11
D(E_F) in states/eV per atom: 1.059
Calculated density in kg/m3: 8005

The structure in POSCAR format:
```
Ac9GaCo3
1.0
7.2015 0.0000 0.0000
0.0000 11.0660 0.0000
-1.2712 0.0000 11.9190
Ac Ga Co
18 2 6
Cartesian
0.3059 2.7665 2.3377
0.6600 6.3220 4.4665
0.6600 10.2770 4.4665
0.3946 2.7665 10.1696
1.7899 6.1396 0.4886
1.7899 10.4593 0.4886
1.6491 6.3060 8.3887
1.6491 10.2929 8.3887
1.9106 2.7665 6.2756
4.0196 8.2995 5.6433
4.2812 0.7730 3.5303
4.2812 4.7599 3.5303
4.1404 0.6066 11.4304
4.1404 4.9263 11.4304
5.5357 8.2995 1.7494
5.2703 0.7890 7.4525
5.2703 4.7440 7.4525
5.6244 8.2995 9.5813
3.3540 2.7665 1.0560
2.5762 8.2995 10.8629
-0.6700 0.0615 9.8421
-0.6700 5.4715 9.8421
2.9651 0.0000 5.9595
2.9651 5.5330 5.9595
6.6003 5.5945 2.0769
6.6003 11.0045 2.0769
```

| no. | calculated total energy (eV per atom) |
| --- | --- |
| 1 | -6.7776 |
| 2 | -6.3740 |
| 3 | -4.7659 |